## BaLi2OsN2 (GGA-PBE)

Data for an optimized crystal structure of BaLi2OsN2.

Structure (CIF):
```
data_BaLi2OsN2
_cell_length_a 5.503
_cell_length_b 8.772
_cell_length_c 4.199
_cell_angle_alpha 90.00
_cell_angle_beta 90.00
_cell_angle_gamma 90.00
_space_group_name_H-M_alt 'P 1'
_space_group_IT_number 1
loop_
_space_group_symop_operation_xyz
'x,y,z'
loop_
_atom_site_label
_atom_site_type_symbol
_atom_site_fract_x
_atom_site_fract_y
_atom_site_fract_z
Ba1 Ba 0.000 0.000 0.000
Ba2 Ba 0.500 0.500 0.500
Li1 Li 0.002 0.301 0.500
Li2 Li 0.498 0.801 0.000
Li3 Li 0.502 0.199 0.000
Li4 Li 0.998 0.699 0.500
Os1 Os 0.000 0.500 0.000
Os2 Os 0.500 0.000 0.500
N1 N 0.201 0.335 0.000
N2 N 0.299 0.835 0.500
N3 N 0.701 0.165 0.500
N4 N 0.799 0.665 0.000
```

=====

## Ba2LiOsN4 (GGA-PBE)

Data for an optimized crystal structure of Ba2LiOsN4.

Structure (CIF):
```
data_Ba2LiOsN4
_cell_length_a 11.569
_cell_length_b 10.278
_cell_length_c 6.316
_cell_angle_alpha 84.84
_cell_angle_beta 62.23
_cell_angle_gamma 32.94
_space_group_name_H-M_alt 'P 1'
_space_group_IT_number 1
loop_
_space_group_symop_operation_xyz
'x,y,z'
loop_
_atom_site_label
_atom_site_type_symbol
_atom_site_fract_x
_atom_site_fract_y
_atom_site_fract_z
Ba1 Ba 0.049 0.049 0.701
Ba2 Ba 0.299 0.299 0.951
Ba3 Ba 0.701 0.701 0.049
Ba4 Ba 0.951 0.951 0.299
Li1 Li 0.125 0.125 0.125
Li2 Li 0.875 0.875 0.875
Os1 Os 0.375 0.375 0.375
Os2 Os 0.625 0.625 0.625
N1 N 0.002 0.649 0.559
N2 N 0.289 0.559 0.649
N3 N 0.351 0.998 0.711
N4 N 0.441 0.711 0.998
N5 N 0.559 0.289 0.002
N6 N 0.649 0.002 0.289
N7 N 0.711 0.441 0.351
N8 N 0.998 0.351 0.441
```

=====

## BaLiPN3 (GGA-PBE)

Data for an optimized crystal structure of BaLiPN3.

Structure (CIF):
```
data_BaLiPN3
_cell_length_a 5.831
_cell_length_b 5.831
_cell_length_c 5.180
_cell_angle_alpha 90.00
_cell_angle_beta 90.00
_cell_angle_gamma 121.92
_space_group_name_H-M_alt 'P 1'
_space_group_IT_number 1
loop_
_space_group_symop_operation_xyz
'x,y,z'
loop_
_atom_site_label
_atom_site_type_symbol
_atom_site_fract_x
_atom_site_fract_y
_atom_site_fract_z
Ba1 Ba 0.229 0.771 0.750
Ba2 Ba 0.771 0.229 0.250
Li1 Li 0.076 0.924 0.250
Li2 Li 0.924 0.076 0.750
P1 P 0.449 0.551 0.250
P2 P 0.551 0.449 0.750
N1 N 0.288 0.712 0.250
N2 N 0.294 0.294 0.000
N3 N 0.294 0.294 0.500
N4 N 0.706 0.706 0.000
N5 N 0.706 0.706 0.500
N6 N 0.712 0.288 0.750
```

=====

## BaLiPN2 (GGA-PBE)

Data for an optimized crystal structure of BaLiPN2.

Structure (CIF):
```
data_BaLiPN2
_cell_length_a 6.005
_cell_length_b 4.345
_cell_length_c 6.570
_cell_angle_alpha 90.00
_cell_angle_beta 101.81
_cell_angle_gamma 90.00
_space_group_name_H-M_alt 'P 1'
_space_group_IT_number 1
loop_
_space_group_symop_operation_xyz
'x,y,z'
loop_
_atom_site_label
_atom_site_type_symbol
_atom_site_fract_x
_atom_site_fract_y
_atom_site_fract_z
Ba1 Ba 0.000 0.237 0.250
Ba2 Ba 0.000 0.763 0.750
Li1 Li 0.500 0.015 0.750
Li2 Li 0.500 0.985 0.250
P1 P 0.500 0.500 0.000
P2 P 0.500 0.500 0.500
N1 N 0.294 0.251 0.951
N2 N 0.294 0.749 0.451
N3 N 0.706 0.251 0.549
N4 N 0.706 0.749 0.049
```

=====

| no. | formation energy from raw total energies (eV/atom) | total magnetization (μB/f.u.) |
| --- | --- | --- |
| 1 | -0.34 | 0.00 |
| 2 | -0.33 | 0.00 |
| 3 | -0.44 | 0.00 |
| 4 | -0.27 | 0.00 |